The following is a PBE-GGA calculation of crystalline Mg2FeH2 at its relaxed geometry, from Alexandria.

Cell and atoms, written as POSCAR:
```
Mg2FeH2
1.0
5.6989 0.0000 0.0000
0.0000 5.6989 0.0000
0.0000 0.0000 3.2998
H Mg Fe
4 4 2
direct
0.3190 0.8190 0.0000
0.8190 0.6810 0.0000
0.6810 0.1810 0.0000
0.1810 0.3190 0.0000
0.1842 0.6842 0.5000
0.6842 0.8158 0.5000
0.8158 0.3158 0.5000
0.3158 0.1842 0.5000
0.0000 0.0000 0.0000
0.5000 0.5000 0.0000
```

spin magnetization	0.000	μB per cell
space-group type	P4/mbm



The following is a PBE-GGA calculation of crystalline Li2ScAg4 at its relaxed geometry, from Alexandria.

Cell and atoms, written as POSCAR:
```
Li2ScAg4
1.0
-3.1242 1.2707 -2.2634
0.6495 -3.0465 -2.6068
-3.7245 -3.7854 6.6606
Li Sc Ag
2 1 4
direct
0.7457 0.7457 0.4914
0.2543 0.2543 0.5086
0.0000 0.0000 0.0000
0.3699 0.8699 0.7399
0.8699 0.3699 0.7399
0.6301 0.1301 0.2601
0.1301 0.6301 0.2601
```

spin magnetization	0.138	μB per cell
ΔE_f	-0.4	eV per formula unit
space-group type	I4/mmm



The following is a PBE-GGA calculation of crystalline TmTiGaTc at its relaxed geometry, from Alexandria.

Cell and atoms, written as POSCAR:
```
TmTiGaTc
1.0
-2.8222 -1.1406 -3.5222
1.7808 -1.6827 -3.9584
-0.6331 -4.4739 -1.1204
Tm Tc Ga Ti
1 1 1 1
direct
0.7500 0.7500 0.7500
0.5000 0.5000 0.5000
0.0000 0.0000 0.0000
0.2500 0.2500 0.2500
```

spin magnetization	0.000	μB per cell
ΔE_f	-1.2	eV per formula unit
space-group type	F-43m



Number 1: final energy -16.95 eV/f.u.. Number 2: final energy -21.92 eV/f.u.. Number 3: final energy -26.92 eV/f.u..